[1]
The following is a GGA-PBE calculation of an optimized crystal structure of V2Ru3Rh, from Alexandria via LeMat-Bulk.

energy: -9.0237 eV/atom
space group: C2/c, No. 15

Cell and atoms, written as POSCAR:
```
V2Ru3Rh
1.0
-1.518 -3.156 3.106
-1.294 -3.940 -2.172
6.113 -6.431 1.215
V Ru Rh
4 6 2
direct
0.456 0.205 0.089
0.544 0.795 0.911
0.795 0.544 0.411
0.205 0.456 0.589
0.625 0.375 0.750
0.290 0.040 0.420
0.040 0.290 0.920
0.960 0.710 0.080
0.375 0.625 0.250
0.710 0.960 0.580
0.875 0.125 0.250
0.125 0.875 0.750
```

***

[2]
The following is a GGA-PBE calculation of an optimized crystal structure of CaCrCd, from Alexandria via LeMat-Bulk.

energy: -3.4036 eV/atom
space group: F-43m, No. 216

Cell and atoms, written as POSCAR:
```
CaCrCd
1.0
5.089 0.000 0.000
2.544 4.407 0.000
2.544 1.469 4.155
Ca Cr Cd
1 1 1
direct
0.750 0.750 0.750
0.500 0.500 0.500
0.000 0.000 0.000
```

***

[3]
The following is a GGA-PBE calculation of an optimized crystal structure of BeRu2Pb, from Alexandria via LeMat-Bulk.

energy: -5.9381 eV/atom
space group: I-4m2, No. 119

Cell and atoms, written as POSCAR:
```
BeRu2Pb
1.0
4.872 -0.010 0.000
1.742 4.550 0.000
-3.307 -2.270 2.766
Ru Pb Be
2 1 1
direct
0.250 0.750 0.500
0.000 0.000 0.000
0.750 0.250 0.500
0.500 0.500 0.000
```

***

[4]
The following is a GGA-PBE calculation of an optimized crystal structure of TlSnSeS, from Alexandria via LeMat-Bulk.

formation energy (no corrections): -124 kJ/mol of formula units
energy: -3.8154 eV/atom
space group: Pmm2, No. 25

Cell and atoms, written as POSCAR:
```
TlSnSeS
1.0
-1.700 3.672 -0.693
-2.452 -0.084 5.574
3.527 1.931 1.584
Se Sn Tl S
1 1 1 1
direct
0.500 0.449 0.393
0.500 0.949 0.418
0.000 0.449 0.896
0.000 0.949 0.826
```

***

[5]
The following is a GGA-PBE calculation of an optimized crystal structure of TbCe4N4, from Alexandria via LeMat-Bulk.

formation energy (no corrections): -1140 kJ/mol of formula units
energy: -8.1650 eV/atom
space group: I4/m, No. 87

Cell and atoms, written as POSCAR:
```
TbCe4N4
1.0
4.715 0.000 1.890
2.318 5.586 1.045
0.279 -0.109 6.130
N Ce Tb
4 4 1
direct
0.096 0.605 0.203
0.701 0.203 0.395
0.904 0.395 0.797
0.299 0.797 0.605
0.193 0.202 0.411
0.807 0.798 0.589
0.395 0.411 0.798
0.605 0.589 0.202
0.000 0.000 0.000
```

***

[6]
The following is a GGA-PBE calculation of an optimized crystal structure of TlBiRuN, from Alexandria via LeMat-Bulk.

formation energy (no corrections): 105 kJ/mol of formula units
energy: -5.6910 eV/atom
space group: P3m1, No. 156

Cell and atoms, written as POSCAR:
```
TlBiRuN
1.0
3.323 0.000 0.000
-1.662 2.878 0.000
0.000 0.000 8.948
N Bi Ru Tl
1 1 1 1
direct
0.000 0.000 0.926
0.333 0.667 0.575
0.333 0.667 0.886
0.667 0.333 0.219
```

***

[7]
The following is a GGA-PBE calculation of an optimized crystal structure of KYAg2Br6, from Alexandria via LeMat-Bulk.

formation energy (no corrections): -1174 kJ/mol of formula units
energy: -3.5473 eV/atom
space group: P1, No. 1

Cell and atoms, written as POSCAR:
```
KYAg2Br6
1.0
7.428 0.004 0.002
3.717 6.427 0.000
3.717 2.142 6.801
Br Ag K Y
6 2 1 1
direct
0.582 0.256 0.235
0.256 0.927 0.235
0.733 0.153 0.756
0.357 0.733 0.758
0.153 0.358 0.757
0.927 0.581 0.236
0.516 0.516 0.452
0.000 0.002 0.997
0.810 0.810 0.569
0.327 0.327 0.020
```

***

[8]
The following is a GGA-PBE calculation of an optimized crystal structure of Ti2NiI, from Alexandria via LeMat-Bulk.

formation energy (no corrections): 167 kJ/mol of formula units
energy: -5.3484 eV/atom
space group: I-42d, No. 122

Cell and atoms, written as POSCAR:
```
Ti2NiI
1.0
-1.141 4.084 -3.981
-3.106 -3.850 -3.059
-6.878 1.634 -0.601
Ti Ni I
4 2 2
direct
0.546 0.125 0.250
0.204 0.625 0.250
0.375 0.454 0.750
0.875 0.796 0.750
0.500 0.500 0.000
0.250 0.750 0.500
0.000 0.000 0.000
0.750 0.250 0.500
```